Entry from Alexandria via LeMat-Bulk: an optimized crystal structure of Mn3Cr5O16 (GGA+U).

Unit cell a=5.835 b=5.826 c=8.898 alpha=90.00 beta=90.23 gamma=119.95
Fractional positions:
Cr 0.160 0.831 0.207
Cr 0.341 0.671 0.489
Cr 0.160 0.329 0.207
Cr 0.329 0.164 0.703
Cr 0.665 0.332 0.987
O 0.524 0.476 0.837
O 0.676 0.338 0.599
O 0.833 0.171 0.104
O 0.477 0.523 0.339
O 0.173 0.834 0.604
O 0.173 0.338 0.604
O 0.991 0.995 0.316
O 0.994 0.997 0.816
O 0.660 0.830 0.602
O 0.477 0.954 0.339
O 0.345 0.173 0.109
O 0.957 0.479 0.839
O 0.833 0.661 0.104
O 0.057 0.528 0.337
O 0.524 0.048 0.837
O 0.337 0.669 0.099
Mn 0.831 0.169 0.712
Mn 0.831 0.662 0.712
Mn 0.656 0.828 0.213

## Properties
* E_tot: -7.231 eV per atom
* N(E_F): 4.9 states/eV/f.u.
* symmetry: No. 8